## Pr2ScSn3Pt4 (PBE)

Data for a relaxed Pr2ScSn3Pt4 crystal.

Calculated values
Calculated formation energy   -0.927 eV per atom
Electronic total energy   -61.330 eV for the cell shown

a = 4.592 Å, b = 4.592 Å, c = 10.838 Å
α = 90.00°, β = 90.00°, γ = 90.00°
Space group P-4m2 (No. 115)
Inequivalent atoms, fractional coordinates:
Pr (0.000, 0.500, 0.232)
Sc (0.000, 0.000, 0.500)
Sn (0.000, 0.500, 0.872)
Sn (0.500, 0.500, 0.500)
Pt (0.000, 0.000, 0.000)
Pt (0.000, 0.500, 0.633)
Pt (0.500, 0.500, 0.000)


## Pr2ScZn3Pt4 (PBE)

Data for a relaxed Pr2ScZn3Pt4 crystal.

Calculated values
Calculated formation energy   -0.849 eV per atom
Electronic total energy   -52.370 eV for the cell shown

a = 4.155 Å, b = 4.155 Å, c = 11.550 Å
α = 90.00°, β = 90.00°, γ = 90.00°
Space group P-4m2 (No. 115)
Inequivalent atoms, fractional coordinates:
Pr (0.000, 0.500, 0.232)
Sc (0.000, 0.000, 0.500)
Zn (0.000, 0.500, 0.871)
Zn (0.500, 0.500, 0.500)
Pt (0.000, 0.000, 0.000)
Pt (0.000, 0.500, 0.650)
Pt (0.500, 0.500, 0.000)


## Pr2ScZn2Pt5 (PBE)

Data for a relaxed Pr2ScZn2Pt5 crystal.

Calculated values
Calculated formation energy   -0.910 eV per atom
Electronic total energy   -115.483 eV for the cell shown

a = 9.913 Å, b = 9.913 Å, c = 3.861 Å
α = 90.00°, β = 90.00°, γ = 90.00°
Space group P4/mbm (No. 127)
Inequivalent atoms, fractional coordinates:
Pr (0.177, 0.323, 0.000)
Sc (0.000, 0.000, 0.000)
Zn (0.120, 0.620, 0.000)
Pt (0.000, 0.500, 0.500)
Pt (0.063, 0.793, 0.500)


## PrScZnPt (PBE)

Data for a relaxed PrScZnPt crystal.

Calculated values
Calculated formation energy   -0.653 eV per atom
Electronic total energy   -84.149 eV for the cell shown

a = 7.025 Å, b = 7.025 Å, c = 7.025 Å
α = 90.00°, β = 90.00°, γ = 90.00°
Space group F-43m (No. 216)
Inequivalent atoms, fractional coordinates:
Pr (0.000, 0.000, 0.000)
Sc (0.000, 0.000, 0.500)
Zn (0.250, 0.250, 0.750)
Pt (0.250, 0.250, 0.250)


## PrPtSe2 (PBE)

Data for a relaxed PrPtSe2 crystal.

Calculated values
Electronic total energy   -57.938 eV for the cell shown
Uncorrected formation energy   -147 kJ/mol of formula units

a = 3.7968 Å, b = 3.7968 Å, c = 25.8085 Å
α = 90.00°, β = 90.00°, γ = 120.00°
Space group R-3m (No. 166, hexagonal axes)
Inequivalent atoms, fractional coordinates:
Pr (0.0000, 0.0000, 0.0000)
Pt (0.0000, 0.0000, 0.5000)
Se (0.0000, 0.0000, 0.1152)


## Pr5PtSe5 (PBE)

Data for a relaxed Pr5PtSe5 crystal.

Calculated values
Electronic total energy   -131.937 eV for the cell shown
Uncorrected formation energy   -1795 kJ/mol of formula units

a = 13.550 Å, b = 6.060 Å, c = 8.557 Å
α = 90.00°, β = 108.11°, γ = 90.00°
Space group C2/m (No. 12)
Inequivalent atoms, fractional coordinates:
Pr (0.000, 0.000, 0.000)
Pr (0.154, 0.500, 0.832)
Pr (0.163, 0.500, 0.334)
Pt (0.000, 0.500, 0.000)
Se (0.000, 0.500, 0.500)
Se (0.172, 0.000, 0.842)
Se (0.178, 0.000, 0.330)


## Pr6Te3PtSe2 (PBE)

Data for a relaxed Pr6Te3PtSe2 crystal.

Calculated values
Electronic total energy   -139.268 eV for the cell shown
Uncorrected formation energy   -1787 kJ/mol of formula units

a = 7.608 Å, b = 13.151 Å, c = 7.717 Å
α = 90.00°, β = 109.29°, γ = 90.00°
Space group C2/m (No. 12)
Inequivalent atoms, fractional coordinates:
Pr (0.235, 0.162, 0.224)
Pr (0.248, 0.000, 0.771)
Te (0.000, 0.172, 0.500)
Te (0.000, 0.500, 0.500)
Pt (0.000, 0.000, 0.000)
Se (0.000, 0.335, 0.000)


## Pr4Te2PtSe (PBE)

Data for a relaxed Pr4Te2PtSe crystal.

Calculated values
Electronic total energy   -46.613 eV for the cell shown
Uncorrected formation energy   -1128 kJ/mol of formula units

a = 7.680 Å, b = 4.308 Å, c = 7.790 Å
α = 90.00°, β = 109.00°, γ = 90.00°
Space group P2/m (No. 10)
Inequivalent atoms, fractional coordinates:
Pr (0.226, 0.000, 0.216)
Pr (0.256, 0.500, 0.771)
Te (0.000, 0.000, 0.500)
Te (0.500, 0.500, 0.500)
Pt (0.000, 0.500, 0.000)
Se (0.500, 0.000, 0.000)